(1)
First-principles (PBEsol) data for a geometry-optimized Cu3Sb4O12 structure, as listed in the Alexandria database.

Unit cell a=6.5980 b=6.5980 c=6.5980 alpha=109.47 beta=109.47 gamma=109.47
With the nearest neighbours (Å) after each atom.
Fractional positions:
Cu1 0.0000 0.5000 0.5000  4 O 1.99
Cu2 0.5000 0.0000 0.5000  4 O 1.99
Cu3 0.5000 0.5000 0.0000  4 O 1.99
Sb1 0.0000 0.0000 0.5000  6 O 2.03
Sb2 0.0000 0.5000 0.0000  6 O 2.03
Sb3 0.5000 0.0000 0.0000  6 O 2.03
Sb4 0.5000 0.5000 0.5000  6 O 2.03
O1 0.1309 0.8163 0.3146  1 Cu 1.99, 2 Sb 2.03
O2 0.1837 0.3146 0.4984  1 Cu 1.99, 2 Sb 2.03
O3 0.1837 0.6854 0.8691  1 Cu 1.99, 2 Sb 2.03
O4 0.3146 0.1309 0.8163  1 Cu 1.99, 2 Sb 2.03
O5 0.3146 0.4984 0.1837  1 Cu 1.99, 2 Sb 2.03
O6 0.4984 0.1837 0.3146  1 Cu 1.99, 2 Sb 2.03
O7 0.5016 0.8163 0.6854  1 Cu 1.99, 2 Sb 2.03
O8 0.6854 0.5016 0.8163  1 Cu 1.99, 2 Sb 2.03
O9 0.6854 0.8691 0.1837  1 Cu 1.99, 2 Sb 2.03
O10 0.8163 0.3146 0.1309  1 Cu 1.99, 2 Sb 2.03
O11 0.8163 0.6854 0.5016  1 Cu 1.99, 2 Sb 2.03
O12 0.8691 0.1837 0.6854  1 Cu 1.99, 2 Sb 2.03

SG: Im-3
Magnetization in μB per formula unit: 1.5
E_tot in eV/atom: -6.0794
Density of states at the Fermi level in states/eV/atom: 0.332
Calculated volume in Å³ per cell: 221

(2)
First-principles (PBEsol) data for a geometry-optimized KSrLiTa2 structure, as listed in the Alexandria database.

Unit cell a=4.8495 b=4.8495 c=5.5616 alpha=90.00 beta=90.00 gamma=90.00
With the nearest neighbours (Å) after each atom.
Fractional positions:
K1 0.0000 0.0000 0.0000  4 Ta 2.42
Sr1 0.0000 0.0000 0.5000  2 K 2.78
Li1 0.5000 0.5000 0.5000  4 Sr 3.43, 8 Ta 3.69
Ta1 0.0000 0.5000 0.0000  2 K 2.42
Ta2 0.5000 0.0000 0.0000  2 K 2.42

SG: P4/mmm
Magnetization in μB per formula unit: 1.9
E_tot in eV/atom: -3.5884
Energy of formation in eV/atom: 2.4201
Density of states at the Fermi level in states/eV/atom: 1.016
Calculated volume in Å³ per cell: 131

(3)
First-principles (PBEsol) data for a geometry-optimized LuZrCo2 structure, as listed in the Alexandria database.

Unit cell a=4.4769 b=4.4769 c=4.4769 alpha=60.00 beta=60.00 gamma=60.00
With the nearest neighbours (Å) after each atom.
Fractional positions:
Lu1 0.0000 0.0000 0.0000  8 Co 2.74
Zr1 0.5000 0.5000 0.5000  8 Co 2.74
Co1 0.2500 0.2500 0.2500  4 Zr 2.74, 4 Lu 2.74
Co2 0.7500 0.7500 0.7500  4 Zr 2.74, 4 Lu 2.74

SG: Fm-3m
Magnetization in μB per formula unit: 0.8
E_tot in eV/atom: -7.6467
Energy of formation in eV/atom: -0.2877
Density of states at the Fermi level in states/eV/atom: 0.709
Calculated volume in Å³ per cell: 63

(4)
First-principles (PBEsol) data for a geometry-optimized BaSrHPb2 structure, as listed in the Alexandria database.

Unit cell a=5.3134 b=5.3134 c=4.9190 alpha=90.00 beta=90.00 gamma=90.00
With the nearest neighbours (Å) after each atom.
Fractional positions:
Ba1 0.0000 0.0000 0.0000  8 Pb 3.62, 4 Sr 3.76
Sr1 0.5000 0.5000 0.0000  2 H 2.46
H1 0.5000 0.5000 0.5000  2 Sr 2.46, 4 Pb 2.66
Pb1 0.0000 0.5000 0.5000  2 H 2.66
Pb2 0.5000 0.0000 0.5000  2 H 2.66

SG: P4/mmm
Magnetization in μB per formula unit: 0.0
E_tot in eV/atom: -3.3789
Density of states at the Fermi level in states/eV/atom: 0.405
Calculated volume in Å³ per cell: 139

(5)
First-principles (PBEsol) data for a geometry-optimized HfTc3Hg structure, as listed in the Alexandria database.

Unit cell a=4.6910 b=4.6910 c=4.6910 alpha=90.00 beta=90.00 gamma=90.00
With the nearest neighbours (Å) after each atom.
Fractional positions:
Hf1 0.0000 0.0000 0.0000  6 Tc 2.35
Tc1 0.0000 0.0000 0.5000  2 Hf 2.35
Tc2 0.0000 0.5000 0.0000  2 Hf 2.35
Tc3 0.5000 0.0000 0.0000  2 Hf 2.35
Hg1 0.5000 0.5000 0.5000  12 Tc 3.32

SG: Pm-3m
Magnetization in μB per formula unit: 2.6
E_tot in eV/atom: -7.0704
Energy of formation in eV/atom: 1.9034
Density of states at the Fermi level in states/eV/atom: 1.112
Calculated volume in Å³ per cell: 103

(6)
First-principles (PBEsol) data for a geometry-optimized SrIrAu2 structure, as listed in the Alexandria database.

Unit cell a=5.2932 b=5.2932 c=5.2932 alpha=133.60 beta=133.60 gamma=67.71
With the nearest neighbours (Å) after each atom.
Fractional positions:
Sr1 0.0000 0.0000 0.0000  8 Au 2.95-3.03, 4 Ir 3.03
Ir1 0.2500 0.7500 0.5000  8 Au 2.95-3.03, 4 Sr 3.03
Au1 0.5000 0.5000 0.0000  4 Sr 2.95, 4 Ir 3.03, 4 Au 3.03
Au2 0.7500 0.2500 0.5000  4 Ir 2.95, 4 Sr 3.03, 4 Au 3.03

SG: I-4m2
Magnetization in μB per formula unit: 0.0
E_tot in eV/atom: -4.8034
Energy above the lowest structure with this stoichiometry in meV/atom: 86
Energy of formation in eV/atom: 0.0745
Density of states at the Fermi level in states/eV/atom: 0.733
Calculated volume in Å³ per cell: 76

(7)
First-principles (PBEsol) data for a geometry-optimized Fe2IrW structure, as listed in the Alexandria database.

Unit cell a=3.7171 b=3.7171 c=3.5762 alpha=90.00 beta=90.00 gamma=90.00
With the nearest neighbours (Å) after each atom.
Fractional positions:
Fe1 0.0000 0.5000 0.0000  4 W 2.58, 4 Ir 2.58, 4 Fe 2.63
Fe2 0.5000 0.0000 0.0000  4 W 2.58, 4 Ir 2.58, 4 Fe 2.63
Ir1 0.0000 0.0000 0.5000  8 Fe 2.58, 4 W 2.63
W1 0.5000 0.5000 0.5000  8 Fe 2.58, 4 Ir 2.63

SG: P4/mmm
Magnetization in μB per formula unit: 0.0
E_tot in eV/atom: -10.5177
Energy of formation in eV/atom: -0.1282
Density of states at the Fermi level in states/eV/atom: 0.938
Calculated volume in Å³ per cell: 49

(8)
First-principles (PBEsol) data for a geometry-optimized KNiAs2Se structure, as listed in the Alexandria database.

Unit cell a=5.2208 b=5.2208 c=5.3292 alpha=90.00 beta=90.00 gamma=90.00
With the nearest neighbours (Å) after each atom.
Fractional positions:
K1 0.0000 0.0000 0.0000  4 As 2.61, 2 Se 2.66
Ni1 0.5000 0.5000 0.5000  4 Se 3.69, 8 As 3.73
As1 0.0000 0.5000 0.0000  2 K 2.61
As2 0.5000 0.0000 0.0000  2 K 2.61
Se1 0.0000 0.0000 0.5000  2 K 2.66

SG: P4/mmm
Magnetization in μB per formula unit: 1.4
E_tot in eV/atom: -2.3007
Density of states at the Fermi level in states/eV/atom: 1.897
Calculated volume in Å³ per cell: 145

(9)
First-principles (PBEsol) data for a geometry-optimized La3MnBe structure, as listed in the Alexandria database.

Unit cell a=5.0997 b=5.0997 c=5.0997 alpha=90.00 beta=90.00 gamma=90.00
With the nearest neighbours (Å) after each atom.
Fractional positions:
La1 0.0000 0.0000 0.5000  2 Mn 2.55
La2 0.0000 0.5000 0.0000  2 Mn 2.55
La3 0.5000 0.0000 0.0000  2 Mn 2.55
Mn1 0.0000 0.0000 0.0000  6 La 2.55
Be1 0.5000 0.5000 0.5000  12 La 3.61

SG: Pm-3m
Magnetization in μB per formula unit: 0.0
E_tot in eV/atom: -5.5503
Energy of formation in eV/atom: 0.4097
Density of states at the Fermi level in states/eV/atom: 1.264
Calculated volume in Å³ per cell: 133

(10)
First-principles (PBEsol) data for a geometry-optimized MnCr2Se structure, as listed in the Alexandria database.

Unit cell a=4.3578 b=4.3578 c=4.2696 alpha=104.43 beta=104.43 gamma=38.54
With the nearest neighbours (Å) after each atom.
Fractional positions:
Mn1 0.0000 0.0000 0.0000  7 Cr 2.34-2.59
Cr1 0.2672 0.2672 0.8722  3 Mn 2.34-2.40, 4 Se 2.54-2.61
Cr2 0.4925 0.4925 0.4911  3 Se 2.37-2.38, 4 Mn 2.56-2.59
Se1 0.7553 0.7553 0.3567  7 Cr 2.37-2.61

SG: Cm
Magnetization in μB per formula unit: 0.2
E_tot in eV/atom: -8.3260
Density of states at the Fermi level in states/eV/atom: 0.963
Calculated volume in Å³ per cell: 49

(11)
First-principles (PBEsol) data for a geometry-optimized Ta2CrNO5 structure, as listed in the Alexandria database.

Unit cell a=4.6947 b=4.6957 c=9.0791 alpha=90.24 beta=90.00 gamma=90.34
With the nearest neighbours (Å) after each atom.
Fractional positions:
Ta1 0.0000 0.0000 0.0000  2 N 1.95-1.97, 4 O 1.98-2.10
Ta2 0.0022 0.0195 0.6738  1 N 1.93, 5 O 1.97-2.10
Ta3 0.4909 0.5271 0.1567  1 N 1.91, 4 O 1.95-2.06
Ta4 0.5085 0.5206 0.4994  6 O 1.96-2.04
Cr1 0.0074 0.0293 0.3358  6 O 1.97-2.03
Cr2 0.5089 0.5304 0.8371  2 N 1.96, 4 O 2.00-2.05
N1 0.3109 0.7252 0.9988  2 Ta 1.91-1.95, 1 Cr 1.96
N2 0.8042 0.8261 0.8304  2 Ta 1.93-1.97, 1 Cr 1.96
O1 0.1981 0.2260 0.1722  1 Cr 1.97, 2 Ta 1.97-2.10
O2 0.1994 0.2246 0.8348  2 Ta 1.97-2.06, 1 Cr 2.04
O3 0.2061 0.2249 0.4981  1 Cr 1.97, 2 Ta 1.98-2.10
O4 0.3117 0.7252 0.3365  2 Ta 2.00-2.06, 1 Cr 2.03
O5 0.3125 0.7223 0.6651  2 Ta 2.00-2.02, 1 Cr 2.03
O6 0.7028 0.3310 0.0030  2 Ta 1.95-2.09, 1 Cr 2.00
O7 0.7047 0.3301 0.6632  2 Ta 1.97-2.03, 1 Cr 2.05
O8 0.7087 0.3282 0.3388  2 Ta 1.96-2.16, 1 Cr 1.99
O9 0.8068 0.8315 0.1733  1 Cr 1.98, 2 Ta 1.98-2.06
O10 0.8126 0.8313 0.4998  1 Cr 1.98, 2 Ta 2.01-2.04

SG: P1
Magnetization in μB per formula unit: 3.0
E_tot in eV/atom: -10.0578
Energy above the lowest structure with this stoichiometry in meV/atom: 2
Density of states at the Fermi level in states/eV/atom: 0.002
Calculated volume in Å³ per cell: 200

(12)
First-principles (PBEsol) data for a geometry-optimized V5As3 structure, as listed in the Alexandria database.

Unit cell a=9.3820 b=7.3797 c=6.3613 alpha=90.00 beta=90.00 gamma=90.00
With the nearest neighbours (Å) after each atom.
Fractional positions:
V1 0.0107 0.2500 0.0228  5 As 2.48-2.51, 3 V 2.56-2.71
V2 0.0784 0.0588 0.7016  4 As 2.45-2.58, 2 V 2.56-2.59
V3 0.0784 0.4412 0.7016  4 As 2.45-2.58, 2 V 2.56-2.59
V4 0.2153 0.7500 0.3547  5 As 2.45-2.62, 2 V 2.59
V5 0.2484 0.2500 0.2996  6 As 2.50-2.66, 1 V 2.71
V6 0.2516 0.7500 0.7996  6 As 2.50-2.66, 1 V 2.71
V7 0.2847 0.2500 0.8547  5 As 2.45-2.62, 2 V 2.59
V8 0.4216 0.5588 0.2016  4 As 2.45-2.58, 2 V 2.56-2.59
V9 0.4216 0.9412 0.2016  4 As 2.45-2.58, 2 V 2.56-2.59
V10 0.4893 0.7500 0.5228  5 As 2.48-2.51, 3 V 2.56-2.71
V11 0.5107 0.2500 0.4772  5 As 2.48-2.51, 3 V 2.56-2.71
V12 0.5784 0.0588 0.7984  4 As 2.45-2.58, 2 V 2.56-2.59
V13 0.5784 0.4412 0.7984  4 As 2.45-2.58, 2 V 2.56-2.59
V14 0.7153 0.7500 0.1453  5 As 2.45-2.62, 2 V 2.59
V15 0.7484 0.2500 0.2004  6 As 2.50-2.66, 1 V 2.71
V16 0.7516 0.7500 0.7004  6 As 2.50-2.66, 1 V 2.71
V17 0.7847 0.2500 0.6453  5 As 2.45-2.62, 2 V 2.59
V18 0.9216 0.5588 0.2984  4 As 2.45-2.58, 2 V 2.56-2.59
V19 0.9216 0.9412 0.2984  4 As 2.45-2.58, 2 V 2.56-2.59
V20 0.9893 0.7500 0.9772  5 As 2.48-2.51, 3 V 2.56-2.71
As1 0.0073 0.7500 0.5876  8 V 2.45-2.66
As2 0.1719 0.5155 0.0727  9 V 2.50-2.77
As3 0.1719 0.9845 0.0727  9 V 2.50-2.77
As4 0.3281 0.0155 0.5727  9 V 2.50-2.77
As5 0.3281 0.4845 0.5727  9 V 2.50-2.77
As6 0.4927 0.2500 0.0876  8 V 2.45-2.66
As7 0.5073 0.7500 0.9124  8 V 2.45-2.66
As8 0.6719 0.5155 0.4273  9 V 2.50-2.77
As9 0.6719 0.9845 0.4273  9 V 2.50-2.77
As10 0.8281 0.0155 0.9273  9 V 2.50-2.77
As11 0.8281 0.4845 0.9273  9 V 2.50-2.77
As12 0.9927 0.2500 0.4124  8 V 2.45-2.66

SG: Pnma
Magnetization in μB per formula unit: 0.0
E_tot in eV/atom: -8.4209
Energy above the lowest structure with this stoichiometry in meV/atom: 15
Energy of formation in eV/atom: -0.4845
Density of states at the Fermi level in states/eV/atom: 0.732
Calculated volume in Å³ per cell: 440

(13)
First-principles (PBEsol) data for a geometry-optimized Zr2ScOs structure, as listed in the Alexandria database.

Unit cell a=5.7229 b=5.7229 c=5.7229 alpha=146.43 beta=130.03 gamma=61.55
With the nearest neighbours (Å) after each atom.
Fractional positions:
Zr1 0.2150 0.2150 0.0000  2 Os 2.68
Zr2 0.7850 0.7850 0.0000  2 Os 2.68
Sc1 0.5000 0.0000 0.5000  4 Os 2.93, 8 Zr 3.21-3.25
Os1 0.0000 0.5000 0.5000  4 Zr 2.68, 4 Sc 2.93

SG: Immm
Magnetization in μB per formula unit: 0.0
E_tot in eV/atom: -9.5380
Energy of formation in eV/atom: -0.2879
Density of states at the Fermi level in states/eV/atom: 0.674
Calculated volume in Å³ per cell: 79